Pu2TiGe3Pt4: optimized geometry, GGA-PBE.

POSCAR file:
```
Pu2TiGe3Pt4
1.0
4.133 0.000 0.000
0.000 4.133 0.000
0.000 0.000 11.113
Pt Ge Ti Pu
4 3 1 2
Direct
0.000 0.000 0.000
0.500 0.500 0.000
0.500 0.000 0.640
0.000 0.500 0.360
0.000 0.500 0.137
0.000 0.000 0.500
0.500 0.000 0.863
0.500 0.500 0.500
0.500 0.000 0.243
0.000 0.500 0.757
```

Summary:
DFT formation energy in eV/atom: -0.739

Zr4Ta3: optimized geometry, GGA-PBE.

POSCAR file:
```
Zr4Ta3
1.0
-1.710 1.710 12.514
1.710 -1.710 12.514
1.710 1.710 -12.514
Zr Ta
4 3
Direct
0.149 0.149 0.000
0.433 0.433 0.000
0.851 0.851 0.000
0.567 0.567 0.000
0.000 0.000 0.000
0.721 0.721 0.000
0.279 0.279 0.000
```

Summary:
DFT formation energy in eV/atom: 0.103
Excess energy over the best structure of this formula in the dataset in meV/atom: 9.7

Zn3GaPd: optimized geometry, GGA-PBE.

POSCAR file:
```
Zn3GaPd
1.0
4.114 0.000 0.000
0.000 7.633 2.134
0.000 2.395 6.151
Zn Ga Pd
6 2 2
Direct
0.756 0.525 0.608
0.744 0.868 0.608
0.500 0.133 0.000
0.000 0.867 0.000
0.256 0.475 0.392
0.244 0.132 0.392
0.750 0.434 0.132
0.250 0.566 0.868
0.250 0.801 0.397
0.750 0.199 0.603
```

Summary:
DFT formation energy in eV/atom: -0.156
Excess energy over the best structure of this formula in the dataset in meV/atom: 16.8

Nd3HoBi2: optimized geometry, GGA-PBE.

POSCAR file:
```
Nd3HoBi2
1.0
4.643 0.000 0.000
0.000 4.643 0.000
0.000 0.000 8.946
Nd Bi Ho
3 2 1
Direct
0.500 0.000 0.351
0.000 0.000 0.000
0.000 0.500 0.649
0.000 0.500 0.278
0.500 0.000 0.722
0.500 0.500 0.000
```

Summary:
DFT formation energy in eV/atom: -0.647
Excess energy over the best structure of this formula in the dataset in meV/atom: 0.0

LaTm4Sc: optimized geometry, GGA-PBE.

POSCAR file:
```
LaTm4Sc
1.0
-2.938 -0.298 5.494
8.700 -2.064 0.704
-1.335 8.105 -1.897
Sc Tm La
2 8 2
Direct
0.752 0.002 0.003
0.248 0.998 0.997
0.794 0.416 0.259
0.632 0.096 0.384
0.964 0.843 0.259
0.252 0.288 0.384
0.036 0.157 0.741
0.368 0.904 0.616
0.206 0.584 0.741
0.748 0.712 0.616
0.334 0.584 0.169
0.666 0.416 0.831
```

Summary:
DFT formation energy in eV/atom: 0.136
Excess energy over the best structure of this formula in the dataset in meV/atom: 25.8

La6Ga2HI3: optimized geometry, GGA-PBE.

POSCAR file:
```
La6Ga2HI3
1.0
7.502 0.003 -0.006
-3.746 6.500 -0.006
-1.259 -2.179 7.760
La Ga I H
6 2 3 1
Direct
0.254 0.254 0.787
0.068 0.392 0.205
0.932 0.608 0.795
0.608 0.932 0.795
0.392 0.068 0.205
0.746 0.746 0.213
0.336 0.664 0.000
0.664 0.336 0.000
0.500 0.500 0.500
0.824 0.176 0.500
0.176 0.824 0.500
0.000 0.000 0.000
```

Summary:
Electronic total energy in Ry per atom: -0.322